Computed, not measured: a relaxed structure of AlMo3N2 at the PBE-GGA level of DFT.

Computed properties:
Space-group type: No. 194
E_tot: -8.867 eV per atom
Total moment: 0.019 μB per formula unit

Cell: 3.0935 3.0935 18.0656 Å, 90.00 90.00 120.00°
With the nearest neighbours (Å) after each atom.
Fractional positions:
1 Mo 0.3333 0.6667 0.8702  3 N 2.10
2 Mo 0.6667 0.3333 0.1298  3 N 2.10
3 Mo 0.0000 0.0000 0.0000  6 N 2.18
4 Mo 0.0000 0.0000 0.5000  6 N 2.18
5 Mo 0.6667 0.3333 0.3702  3 N 2.10
6 Mo 0.3333 0.6667 0.6298  3 N 2.10
7 N 0.6667 0.3333 0.5691  6 Mo 2.10-2.18
8 N 0.3333 0.6667 0.0691  6 Mo 2.10-2.18
9 N 0.3333 0.6667 0.4309  6 Mo 2.10-2.18
10 N 0.6667 0.3333 0.9309  6 Mo 2.10-2.18
11 Al 0.0000 0.0000 0.2500  6 Mo 2.81, 6 Al 3.09
12 Al 0.0000 0.0000 0.7500  6 Mo 2.81, 6 Al 3.09

---

Computed, not measured: a relaxed structure of Zr2Zn at the PBE-GGA level of DFT.

Computed properties:
Space-group type: No. 63
Formation enthalpy at 0 K: -49 kJ/mol of formula units
E_tot: -6.289 eV per atom
Total moment: 0.006 μB per formula unit

Cell: 4.7576 10.8100 4.7507 Å, 90.00 90.00 90.00°
With the nearest neighbours (Å) after each atom.
Fractional positions:
1 Zr 0.4160 0.3437 0.5000  4 Zn 2.91-2.92, 4 Zr 3.12
2 Zr 0.9160 0.1563 0.5000  4 Zn 2.91-2.92, 4 Zr 3.12
3 Zr 0.9160 0.8437 0.5000  4 Zn 2.91-2.92, 4 Zr 3.12
4 Zr 0.4173 0.1563 0.0000  4 Zn 2.91-2.92, 4 Zr 3.12
5 Zr 0.4173 0.8437 0.0000  4 Zn 2.91-2.92, 4 Zr 3.12
6 Zr 0.9173 0.6563 0.0000  4 Zn 2.91-2.92, 4 Zr 3.12
7 Zr 0.4160 0.6563 0.5000  4 Zn 2.91-2.92, 4 Zr 3.12
8 Zr 0.9173 0.3437 0.0000  4 Zn 2.91-2.92, 4 Zr 3.12
9 Zn 0.4180 0.5000 0.0000  8 Zr 2.91-2.92
10 Zn 0.4154 0.0000 0.5000  8 Zr 2.91-2.92
11 Zn 0.9154 0.5000 0.5000  8 Zr 2.91-2.92
12 Zn 0.9180 0.0000 0.0000  8 Zr 2.91-2.92

---

Computed, not measured: a relaxed structure of YTm2As3 at the PBE-GGA level of DFT.

Computed properties:
Space-group type: No. 164
E_tot: -6.414 eV per atom
Total moment: 0.002 μB per formula unit

Cell: 4.0799 4.0799 9.9875 Å, 90.00 90.00 120.00°
With the nearest neighbours (Å) after each atom.
Fractional positions:
1 Tm 0.6667 0.3333 0.1651  6 As 2.87-2.88
2 Tm 0.3333 0.6667 0.8349  6 As 2.87-2.88
3 As 0.0000 0.0000 0.0000  6 Tm 2.88
4 As 0.6667 0.3333 0.6704  3 Tm 2.87, 3 Y 2.91
5 As 0.3333 0.6667 0.3296  3 Tm 2.87, 3 Y 2.91
6 Y 0.0000 0.0000 0.5000  6 As 2.91

---

Computed, not measured: a relaxed structure of Lu4SiNiN2 at the PBE-GGA level of DFT.

Computed properties:
Space-group type: No. 187
E_tot: -6.746 eV per atom
Total moment: 0.005 μB per formula unit

Cell: 3.3718 3.3718 13.7053 Å, 90.00 90.00 120.00°
With the nearest neighbours (Å) after each atom.
Fractional positions:
1 Si 0.6667 0.3333 0.5000  6 Lu 2.95
2 Lu 0.0000 0.0000 0.6618  3 N 2.30
3 Lu 0.0000 0.0000 0.3382  3 N 2.30
4 Lu 0.6667 0.3333 0.8585  3 N 2.44
5 Lu 0.6667 0.3333 0.1415  3 N 2.44
6 N 0.3333 0.6667 0.7507  6 Lu 2.30-2.44
7 N 0.3333 0.6667 0.2493  6 Lu 2.30-2.44
8 Ni 0.0000 0.0000 0.0000  6 Lu 2.75

---

Computed, not measured: a relaxed structure of TbNd2Sn3PdPt2 at the PBE-GGA level of DFT.

Computed properties:
Space-group type: No. 38
E_tot: -5.852 eV per atom
Total moment: 0.003 μB per formula unit

Cell: 4.0945 7.6089 7.6089 Å, 119.83 90.00 90.00°
With the nearest neighbours (Å) after each atom.
Fractional positions:
1 Nd 0.0000 0.0004 0.4112  4 Pt 3.10, 1 Pd 3.14, 6 Sn 3.27-3.43
2 Nd 0.0000 0.4112 0.0004  4 Pt 3.10, 1 Pd 3.14, 6 Sn 3.27-3.43
3 Sn 0.5000 0.7454 0.9979  2 Pd 2.80, 2 Pt 2.86-2.95
4 Sn 0.5000 0.2548 0.2548  2 Pd 2.84, 2 Pt 2.86
5 Sn 0.5000 0.9979 0.7454  2 Pd 2.80, 2 Pt 2.86-2.95
6 Tb 0.0000 0.5905 0.5905  4 Pt 3.04, 1 Pd 3.09, 6 Sn 3.28-3.40
7 Pd 0.0000 0.9962 0.9962  6 Sn 2.80-2.84, 1 Tb 3.09
8 Pt 0.5000 0.6648 0.3388  3 Sn 2.86-2.95, 2 Tb 3.04, 4 Nd 3.10
9 Pt 0.5000 0.3388 0.6648  3 Sn 2.86-2.95, 2 Tb 3.04, 4 Nd 3.10

---

Computed, not measured: a relaxed structure of CdFeTcBi at the PBE-GGA level of DFT.

Computed properties:
Space-group type: No. 216
E_tot: -5.251 eV per atom
ΔE to the lowest computed polymorph: 0 meV per atom
Total moment: 2.427 μB per formula unit

Cell: 4.6513 4.6513 4.6513 Å, 60.00 60.00 60.00°
With the nearest neighbours (Å) after each atom.
Fractional positions:
1 Cd 0.5000 0.5000 0.5000  4 Tc 2.85, 4 Fe 2.85
2 Bi 0.0000 0.0000 0.0000  4 Fe 2.85, 4 Tc 2.85
3 Tc 0.2500 0.2500 0.2500  4 Cd 2.85, 4 Bi 2.85
4 Fe 0.7500 0.7500 0.7500  4 Bi 2.85, 4 Cd 2.85

---

Computed, not measured: a relaxed structure of GdAlNiPt at the PBE-GGA level of DFT.

Computed properties:
Space-group type: No. 186
E_tot: -5.888 eV per atom
ΔE to the lowest computed polymorph: 0 meV per atom
Total moment: 0.004 μB per formula unit

Cell: 4.2763 4.2763 9.2094 Å, 90.00 90.00 120.00°
With the nearest neighbours (Å) after each atom.
Fractional positions:
1 Ni 0.6667 0.3333 0.4317  3 Al 2.54, 3 Pt 2.78
2 Ni 0.3333 0.6667 0.9317  3 Al 2.54, 3 Pt 2.78
3 Al 0.0000 0.0000 0.4977  3 Ni 2.54, 3 Pt 2.56
4 Al 0.0000 0.0000 0.9977  3 Ni 2.54, 3 Pt 2.56
5 Gd 0.3333 0.6667 0.2499  4 Ni 2.93-2.98, 4 Pt 2.95-2.97
6 Gd 0.6667 0.3333 0.7499  4 Ni 2.93-2.98, 4 Pt 2.95-2.97
7 Pt 0.6667 0.3333 0.0707  3 Al 2.56, 3 Ni 2.78
8 Pt 0.3333 0.6667 0.5707  3 Al 2.56, 3 Ni 2.78

---

Computed, not measured: a relaxed structure of Pr2IrPd at the PBE-GGA level of DFT.

Computed properties:
Space-group type: No. 38
Formation enthalpy at 0 K: -274 kJ/mol of formula units
E_tot: -6.604 eV per atom
ΔE to the lowest computed polymorph: 19 meV per atom
Total moment: 0.001 μB per formula unit

Cell: 4.5073 5.8029 5.8029 Å, 39.83 90.00 90.00°
With the nearest neighbours (Å) after each atom.
Fractional positions:
1 Ir 0.0000 0.5874 0.5874  2 Pd 2.93, 7 Pr 2.98-3.17
2 Pr 0.5000 0.1365 0.1365  4 Ir 3.05, 3 Pd 3.05-3.11
3 Pr 0.0000 0.8602 0.8602  3 Ir 2.98-3.17, 4 Pd 3.06
4 Pd 0.5000 0.4160 0.4160  2 Ir 2.93, 7 Pr 3.05-3.11

---

Computed, not measured: a relaxed structure of Tb2DyHg3PdAu2 at the PBE-GGA level of DFT.

Computed properties:
Space-group type: No. 38
Formation enthalpy at 0 K: -587 kJ/mol of formula units
E_tot: -3.616 eV per atom
Total moment: 0.017 μB per formula unit

Cell: 3.7602 7.9020 7.9020 Å, 119.94 90.00 90.00°
With the nearest neighbours (Å) after each atom.
Fractional positions:
1 Tb 0.0000 0.3923 0.9999  4 Au 3.08, 1 Pd 3.10, 6 Hg 3.28-3.33
2 Tb 0.0000 0.9999 0.3923  4 Au 3.08, 1 Pd 3.10, 6 Hg 3.28-3.33
3 Dy 0.0000 0.6080 0.6080  4 Au 3.07, 1 Pd 3.10, 6 Hg 3.29-3.32
4 Pd 0.0000 0.9995 0.9995  6 Hg 2.83, 1 Dy 3.10, 2 Tb 3.10
5 Au 0.5000 0.3341 0.6663  3 Hg 2.93-2.94, 2 Dy 3.07, 4 Tb 3.08
6 Au 0.5000 0.6663 0.3341  3 Hg 2.93-2.94, 2 Dy 3.07, 4 Tb 3.08
7 Hg 0.5000 0.0000 0.7327  2 Pd 2.83, 2 Au 2.93-2.94
8 Hg 0.5000 0.7327 0.0000  2 Pd 2.83, 2 Au 2.93-2.94
9 Hg 0.5000 0.2672 0.2672  2 Pd 2.83, 2 Au 2.93

---

Computed, not measured: a relaxed structure of Zr4GaSiN2 at the PBE-GGA level of DFT.

Computed properties:
Space-group type: No. 187
E_tot: -8.545 eV per atom
Total moment: 0.006 μB per formula unit

Cell: 3.2668 3.2668 13.7683 Å, 90.00 90.00 120.00°
With the nearest neighbours (Å) after each atom.
Fractional positions:
1 Si 0.3333 0.6667 0.5000  6 Zr 2.81
2 N 0.6667 0.3333 0.2538  6 Zr 2.27-2.29
3 N 0.6667 0.3333 0.7462  6 Zr 2.27-2.29
4 Zr 0.0000 0.0000 0.3483  3 N 2.29
5 Zr 0.3333 0.6667 0.1624  3 N 2.27
6 Zr 0.0000 0.0000 0.6517  3 N 2.29
7 Zr 0.3333 0.6667 0.8376  3 N 2.27
8 Ga 0.0000 0.0000 0.0000  6 Zr 2.93, 6 Ga 3.27

---

Computed, not measured: a relaxed structure of Cu5Ag4 at the PBE-GGA level of DFT.

Computed properties:
Space-group type: No. 12
Formation enthalpy at 0 K: 77 kJ/mol of formula units
E_tot: -3.231 eV per atom
ΔE to the lowest computed polymorph: 49 meV per atom

Cell: 5.7651 5.7651 8.6822 Å, 104.33 104.33 28.07°
With the nearest neighbours (Å) after each atom.
Fractional positions:
1 Cu 0.5000 0.5000 0.0000  6 Cu 2.58-2.80, 6 Ag 2.78-2.88
2 Cu 0.8316 0.8316 0.4612  4 Cu 2.52-2.80, 7 Ag 2.71-2.78
3 Cu 0.8360 0.8360 0.0902  6 Cu 2.56-2.80, 5 Ag 2.68-2.72
4 Cu 0.1684 0.1684 0.5388  4 Cu 2.52-2.80, 7 Ag 2.71-2.78
5 Cu 0.1640 0.1640 0.9098  6 Cu 2.56-2.80, 5 Ag 2.68-2.72
6 Ag 0.8213 0.8213 0.7772  8 Cu 2.68-2.78, 4 Ag 2.80-2.90
7 Ag 0.1787 0.1787 0.2228  8 Cu 2.68-2.78, 4 Ag 2.80-2.90
8 Ag 0.4863 0.4863 0.3269  7 Cu 2.69-2.88, 5 Ag 2.80-2.94
9 Ag 0.5137 0.5137 0.6731  7 Cu 2.69-2.88, 5 Ag 2.80-2.94

---

Computed, not measured: a relaxed structure of ZnTePtO at the PBE-GGA level of DFT.

Computed properties:
Space-group type: No. 129
E_tot: -3.871 eV per atom
ΔE to the lowest computed polymorph: 563 meV per atom
Total moment: 0.009 μB per formula unit

Cell: 4.1300 4.1300 8.6203 Å, 90.00 90.00 90.00°
With the nearest neighbours (Å) after each atom.
Fractional positions:
1 Te 0.2500 0.2500 0.1679  5 Zn 2.69-2.93
2 Te 0.7500 0.7500 0.8321  5 Zn 2.69-2.93
3 O 0.7500 0.2500 0.5000  4 Pt 2.13
4 O 0.2500 0.7500 0.5000  4 Pt 2.13
5 Pt 0.2500 0.2500 0.5587  4 O 2.13
6 Pt 0.7500 0.7500 0.4413  4 O 2.13
7 Zn 0.2500 0.2500 0.8560  1 Pt 2.56, 1 Te 2.69
8 Zn 0.7500 0.7500 0.1440  1 Pt 2.56, 1 Te 2.69